The following is a PBE-GGA calculation of a relaxed structure of CdSe3S, from Alexandria.

As for the energy above the most stable polymorph in this dataset: 0 meV/atom.

a = 4.8942 Å, b = 4.8942 Å, c = 4.8942 Å
α = 90.00°, β = 90.00°, γ = 90.00°
Element x y z (fractional)
1 S 0.0000 0.0000 0.0000
2 Se 0.0000 0.5000 0.0000
3 Se 0.0000 0.0000 0.5000
4 Se 0.5000 0.0000 0.0000
5 Cd 0.5000 0.5000 0.5000

The following is a PBE-GGA calculation of a relaxed structure of CdSeS3, from Alexandria.

As for the energy above the most stable polymorph in this dataset: 0 meV/atom.

a = 4.7941 Å, b = 4.7941 Å, c = 4.7941 Å
α = 90.00°, β = 90.00°, γ = 90.00°
Element x y z (fractional)
1 S 0.0000 0.5000 0.0000
2 S 0.0000 0.0000 0.5000
3 S 0.5000 0.0000 0.0000
4 Se 0.0000 0.0000 0.0000
5 Cd 0.5000 0.5000 0.5000

The following is a PBE-GGA calculation of a relaxed structure of CdSeS2, from Alexandria.

As for the energy above the most stable polymorph in this dataset: 617 meV/atom.

a = 4.7566 Å, b = 4.7566 Å, c = 4.7566 Å
α = 60.00°, β = 60.00°, γ = 60.00°
Element x y z (fractional)
1 S 0.2500 0.2500 0.2500
2 S 0.7500 0.7500 0.7500
3 Se 0.0000 0.0000 0.0000
4 Cd 0.5000 0.5000 0.5000

The following is a PBE-GGA calculation of a relaxed structure of CdSe3S, from Alexandria.

As for the energy above the most stable polymorph in this dataset: 588 meV/atom.

a = 5.2365 Å, b = 5.2365 Å, c = 5.2365 Å
α = 90.00°, β = 90.00°, γ = 90.00°
Last column: magnetic moment on the atom in μB.
Element x y z (fractional)
1 S 0.5000 0.5000 0.5000  1.00
2 Se 0.0000 0.5000 0.0000  0.14
3 Se 0.0000 0.0000 0.5000  0.23
4 Se 0.5000 0.0000 0.0000  0.18
5 Cd 0.0000 0.0000 0.0000  0.00

The following is a PBE-GGA calculation of a relaxed structure of CdSeS2, from Alexandria.

As for the energy above the most stable polymorph in this dataset: 436 meV/atom.

a = 9.3407 Å, b = 9.3407 Å, c = 9.3407 Å
α = 21.87°, β = 21.87°, γ = 21.87°
Element x y z (fractional)
1 S 0.8885 0.8885 0.8885
2 S 0.1115 0.1115 0.1115
3 Se 0.5000 0.5000 0.5000
4 Cd 0.0000 0.0000 0.0000

The following is a PBE-GGA calculation of a relaxed structure of Cd5Se4S, from Alexandria.

a = 4.3437 Å, b = 4.3437 Å, c = 35.4668 Å
α = 90.00°, β = 90.00°, γ = 120.00°
Element x y z (fractional)
1 Cd 0.3333 0.6667 0.0304
2 Cd 0.3333 0.6667 0.2257
3 Cd 0.3333 0.6667 0.4208
4 Cd 0.3333 0.6667 0.6241
5 Cd 0.3333 0.6667 0.8273
6 Cd 0.6667 0.3333 0.1240
7 Cd 0.6667 0.3333 0.3192
8 Cd 0.6667 0.3333 0.5225
9 Cd 0.6667 0.3333 0.7257
10 Cd 0.6667 0.3333 0.9289
11 Se 0.3333 0.6667 0.4966
12 Se 0.3333 0.6667 0.6997
13 Se 0.3333 0.6667 0.9029
14 Se 0.6667 0.3333 0.0045
15 Se 0.6667 0.3333 0.1998
16 Se 0.6667 0.3333 0.3951
17 Se 0.6667 0.3333 0.5982
18 Se 0.6667 0.3333 0.8013
19 S 0.3333 0.6667 0.1030
20 S 0.3333 0.6667 0.2983

| no. | formation energy (no corrections) (meV/atom) | final energy (eV/atom) | M_tot (μB per formula unit) |
| --- | --- | --- | --- |
| 1 | 400 | -2.70 | 0.00 |
| 2 | 494 | -2.86 | 0.00 |
| 3 | 488 | -2.68 | 0.00 |
| 4 | 988 | -2.11 | 2.45 |
| 5 | 307 | -2.86 | 0.00 |
| 6 | -625 | -2.89 | 0.00 |